[1]
Below is a geometry-optimized BAs2Ru structure, with properties calculated at the PBE level. Values from VASP.

Values from the calculation:
**DOS(E_F)**: 0.761 states/eV per atom
**Formation enthalpy at 0 K**: 0.24 eV/atom

Structure (Quantum ESPRESSO input):
```
&SYSTEM
  ibrav = 0, nat = 8, ntyp = 3
/
ATOMIC_SPECIES
B 10.81 B.upf
As 74.92 As.upf
Ru 101.07 Ru.upf
CELL_PARAMETERS angstrom
-2.6746 2.6746 4.7591
2.6746 -2.6746 4.7591
2.6746 2.6746 -4.7591
ATOMIC_POSITIONS angstrom
B 0.0000 0.0000 0.0000
B 0.0000 2.6746 2.3795
As 4.0119 1.0846 -1.1898
As 1.0846 1.3373 1.1898
As -1.3373 1.5900 3.5693
As 1.5900 1.3373 5.9488
Ru 2.6746 0.0000 2.3795
Ru 0.0000 0.0000 4.7591
```

[2]
Below is a geometry-optimized BAsRu3 structure, with properties calculated at the PBE level. Values from VASP.

Values from the calculation:
**DOS(E_F)**: 0.583 states/eV per atom
**Formation enthalpy at 0 K**: 0.21 eV/atom

Structure (Quantum ESPRESSO input):
```
&SYSTEM
  ibrav = 0, nat = 5, ntyp = 3
/
ATOMIC_SPECIES
B 10.81 B.upf
As 74.92 As.upf
Ru 101.07 Ru.upf
CELL_PARAMETERS angstrom
4.0784 0.0000 0.0000
0.0000 4.0784 0.0000
0.0000 0.0000 4.0784
ATOMIC_POSITIONS angstrom
B 0.0000 0.0000 0.0000
As 2.0392 2.0392 2.0392
Ru 0.0000 0.0000 2.0392
Ru 0.0000 2.0392 0.0000
Ru 2.0392 0.0000 0.0000
```

[3]
Below is a geometry-optimized B2AsRu structure, with properties calculated at the PBE level. Values from VASP.

Values from the calculation:
**DOS(E_F)**: 0.520 states/eV per atom
**Formation enthalpy at 0 K**: 0.47 eV/atom

Structure (Quantum ESPRESSO input):
```
&SYSTEM
  ibrav = 0, nat = 8, ntyp = 3
/
ATOMIC_SPECIES
B 10.81 B.upf
As 74.92 As.upf
Ru 101.07 Ru.upf
CELL_PARAMETERS angstrom
-2.4615 2.4615 4.5234
2.4615 -2.4615 4.5234
2.4615 2.4615 -4.5234
ATOMIC_POSITIONS angstrom
B 3.6923 1.1906 -1.1309
B 1.1906 1.2308 1.1309
B -1.2308 1.2709 3.3926
B 1.2709 1.2308 5.6543
As 2.4615 0.0000 2.2617
As 0.0000 0.0000 4.5234
Ru 0.0000 0.0000 0.0000
Ru 0.0000 2.4615 2.2617
```

[4]
Below is a geometry-optimized BAs3Ru structure, with properties calculated at the PBE level. Values from VASP.

Values from the calculation:
**DOS(E_F)**: 0.867 states/eV per atom
**Formation enthalpy at 0 K**: 0.93 eV/atom

Structure (Quantum ESPRESSO input):
```
&SYSTEM
  ibrav = 0, nat = 5, ntyp = 3
/
ATOMIC_SPECIES
B 10.81 B.upf
As 74.92 As.upf
Ru 101.07 Ru.upf
CELL_PARAMETERS angstrom
4.2767 0.0000 0.0000
0.0000 4.2767 0.0000
0.0000 0.0000 4.2767
ATOMIC_POSITIONS angstrom
B 0.0000 0.0000 0.0000
As 0.0000 0.0000 2.1383
As 0.0000 2.1383 0.0000
As 2.1383 0.0000 0.0000
Ru 2.1383 2.1383 2.1383
```

[5]
Below is a geometry-optimized BAs3Ru structure, with properties calculated at the PBE level. Values from VASP.

Values from the calculation:
**DOS(E_F)**: 0.692 states/eV per atom
**Formation enthalpy at 0 K**: 1.32 eV/atom

Structure (Quantum ESPRESSO input):
```
&SYSTEM
  ibrav = 0, nat = 5, ntyp = 3
/
ATOMIC_SPECIES
B 10.81 B.upf
As 74.92 As.upf
Ru 101.07 Ru.upf
CELL_PARAMETERS angstrom
4.7630 0.0000 0.0000
0.0000 4.7630 0.0000
0.0000 0.0000 4.7630
ATOMIC_POSITIONS angstrom
B 0.0000 0.0000 0.0000
As 0.0000 2.3815 2.3815
As 2.3815 0.0000 2.3815
As 2.3815 2.3815 0.0000
Ru 2.3815 2.3815 2.3815
```

[6]
Below is a geometry-optimized BAsRu2 structure, with properties calculated at the PBE level. Values from VASP.

Values from the calculation:
**DOS(E_F)**: 0.279 states/eV per atom
**Formation enthalpy at 0 K**: 0.14 eV/atom

Structure (Quantum ESPRESSO input):
```
&SYSTEM
  ibrav = 0, nat = 4, ntyp = 3
/
ATOMIC_SPECIES
B 10.81 B.upf
As 74.92 As.upf
Ru 101.07 Ru.upf
CELL_PARAMETERS angstrom
0.0000 2.8997 2.8997
2.8997 0.0000 2.8997
2.8997 2.8997 0.0000
ATOMIC_POSITIONS angstrom
B 0.0000 0.0000 0.0000
As 2.8997 2.8997 2.8997
Ru 1.4498 1.4498 1.4498
Ru 4.3495 4.3495 4.3495
```

Among the records above, which one has the highest formation enthalpy at 0 K? number 5

Look up the formation enthalpy at 0 K of the fifth one. 1.32 eV/atom